Model one:
## NbSiRh3 (PBE-GGA)

Data for an optimized crystal structure of NbSiRh3.

The space group is Pm-3m (No. 221) and the conventional cell measures 4.370, 4.370 and 4.370 Å, with angles of 90.00, 90.00 and 90.00 degrees. The asymmetric unit holds Nb at (0.000, 0.000, 0.000), Si at (0.500, 0.500, 0.500) and Rh at (0.000, 0.500, 0.500).

As for the density of states at the Fermi level: 18.7 states/eV/cell.

Model two:
## NbSiRh3 (PBE-GGA)

Data for an optimized crystal structure of NbSiRh3.

The space group is Pm-3m (No. 221) and the conventional cell measures 4.715, 4.715 and 4.715 Å, with angles of 90.00, 90.00 and 90.00 degrees. The asymmetric unit holds Nb at (0.000, 0.000, 0.000), Si at (0.500, 0.500, 0.500) and Rh at (0.000, 0.000, 0.500).

As for the density of states at the Fermi level: 5.6 states/eV/cell.

Which structure loses on stability? model two does.